Entry from the Alexandria database: a crystal of Li2CrF4 relaxed with PBEsol (SCAN).

E_form (uncorrected)	-2.89	eV/atom
symmetry	Pm

abc: 3.9427 8.7909 8.6631
angles: 92.69 90.00 90.00
Closest atoms and distances in Å follow each position.
Element x y z (fractional)
Li  0.0000  0.9244  0.3781  5 F 1.80-2.00
Li  0.5000  0.8872  0.5899  5 F 1.93-2.11
Li  0.0000  0.6151  0.1566  5 F 1.89-2.07
Li  0.5000  0.6460  0.8818  4 F 1.93-2.03
Li  0.5000  0.3898  0.0888  5 F 1.98-2.03
Li  0.0000  0.3963  0.8689  5 F 1.97-1.99
Li  0.5000  0.3333  0.6318  5 F 1.98-2.05
Li  0.0000  0.1139  0.6219  6 F 1.91-2.11
Cr  0.5000  0.8810  0.1400  4 F 1.95-2.00
Cr  0.0000  0.6236  0.6048  4 F 1.98-1.99
Cr  0.0000  0.3415  0.3604  4 F 1.92-2.05
Cr  0.5000  0.1206  0.8884  4 F 1.90-2.00
F  0.5000  0.8668  0.9149  1 Cr 1.95, 1 Li 1.95
F  0.5000  0.8846  0.3665  3 Li 1.93-2.00, 1 Cr 1.96
F  0.0000  0.8504  0.1605  2 Li 1.96-2.07, 2 Cr 2.00
F  0.0000  0.8896  0.5919  4 Li 1.89-1.98
F  0.5000  0.6177  0.1018  4 Li 1.93-2.03
F  0.5000  0.6512  0.6237  2 Cr 1.99, 1 Li 2.11
F  0.0000  0.6183  0.8327  1 Cr 1.98, 3 Li 1.99-2.03
F  0.0000  0.5745  0.3778  1 Li 1.97, 2 Cr 1.99-2.05
F  0.0000  0.3444  0.6422  4 Li 1.98-2.03
F  0.0000  0.4062  0.0961  4 Li 1.89-1.98
F  0.5000  0.3552  0.3973  2 Cr 2.00, 1 Li 2.05
F  0.5000  0.3919  0.8579  4 Li 1.97-2.00
F  0.0000  0.1292  0.4026  2 Li 1.80-1.91, 1 Cr 1.92
F  0.0000  0.1390  0.8654  2 Cr 1.99, 1 Li 2.11
F  0.5000  0.1072  0.6579  4 Li 2.00-2.01, 1 Cr 2.00
F  0.5000  0.1608  0.1058  1 Cr 1.90, 1 Li 2.03


Entry from the Alexandria database: a crystal of Li2CrF relaxed with PBEsol (SCAN).

E_form (uncorrected)	-1.04	eV/atom
symmetry	I-42d

abc: 5.6836 5.6836 5.6836
angles: 92.25 118.71 118.71
Closest atoms and distances in Å follow each position.
Element x y z (fractional)
Cr  0.0000  0.0000  0.0000  8 Li 3.03-3.32
Cr  0.5000  0.7500  0.2500  8 Li 3.03-3.32
Li  0.8234  0.4484  0.1250  2 F 1.80
Li  0.1766  0.3016  0.6250  2 F 1.80
Li  0.6766  0.3750  0.5516  2 F 1.80
Li  0.3234  0.8750  0.6984  2 F 1.80
F  0.0000  0.5000  0.5000  4 Li 1.80
F  0.5000  0.2500  0.7500  4 Li 1.80